An optimized crystal structure of V3FeMo2. Source: the Alexandria database, functional GGA-PBE.

Calculated values
The symmetry is No. 123. Its calculated formation energy is -0.108 eV per atom.

a b c (Å): 3.027 3.027 9.016
angles (deg): 90.00 90.00 90.00
Site moments in Bohr magnetons follow the coordinates.
Element x y z (fractional)
V: 0.000 0.000 0.342  -0.37
V: 0.000 0.000 0.658  -0.37
V: 0.000 0.000 0.000  -0.05
Mo: 0.500 0.500 0.827  0.09
Mo: 0.500 0.500 0.173  0.09
Fe: 0.500 0.500 0.500  1.32



An optimized crystal structure of Nd12HoMg3. Source: the Alexandria database, functional GGA-PBE.

Calculated values
The symmetry is No. 123. Its calculated formation energy is 0.000 eV per atom.

a b c (Å): 5.058 5.058 20.401
angles (deg): 90.00 90.00 90.00
Element x y z (fractional)
Nd: 0.500 0.500 0.000
Nd: 0.500 0.000 0.128
Nd: 0.500 0.500 0.253
Nd: 0.000 0.500 0.872
Nd: 0.000 0.500 0.624
Nd: 0.500 0.000 0.872
Nd: 0.500 0.500 0.747
Nd: 0.000 0.500 0.376
Nd: 0.500 0.500 0.500
Nd: 0.500 0.000 0.624
Nd: 0.500 0.000 0.376
Nd: 0.000 0.500 0.128
Mg: 0.000 0.000 0.746
Mg: 0.000 0.000 0.500
Mg: 0.000 0.000 0.254
Ho: 0.000 0.000 0.000



An optimized crystal structure of BeMo2Se2. Source: the Alexandria database, functional GGA-PBE.

Calculated values
The energy relative to the elements, uncorrected comes out at 0.50 eV per atom. The symmetry is No. 127. The energy relative to the lowest polymorph listed for this composition is 0.15 eV per formula unit.

a b c (Å): 7.125 7.125 3.137
angles (deg): 90.00 90.00 90.00
Element x y z (fractional)
Se: 0.855 0.645 0.000
Se: 0.645 0.145 0.000
Se: 0.145 0.355 0.000
Se: 0.355 0.855 0.000
Be: 0.000 0.000 0.000
Be: 0.500 0.500 0.000
Mo: 0.157 0.657 0.500
Mo: 0.657 0.843 0.500
Mo: 0.843 0.343 0.500
Mo: 0.343 0.157 0.500



An optimized crystal structure of V2TePb. Source: the Alexandria database, functional GGA-PBE.

Calculated values
The energy relative to the elements, uncorrected comes out at 0.60 eV per atom. The symmetry is No. 122. The energy relative to the lowest polymorph listed for this composition is 0.56 eV per formula unit.

a b c (Å): 7.584 7.584 6.288
angles (deg): 52.91 52.91 90.00
Site moments in Bohr magnetons follow the coordinates.
Element x y z (fractional)
Te: 0.500 0.500 0.000  -0.08
Te: 0.250 0.750 0.500  -0.08
V: 0.375 0.404 0.750  2.41
V: 0.596 0.125 0.250  2.41
V: 0.875 0.846 0.750  2.41
V: 0.154 0.625 0.250  2.41
Pb: 0.750 0.250 0.500  -0.11
Pb: 0.000 0.000 0.000  -0.11



An optimized crystal structure of BeRu. Source: the Alexandria database, functional GGA-PBE.

Calculated values
The symmetry is No. 198. Its calculated formation energy is -0.082 eV per atom.

a b c (Å): 4.479 4.479 4.479
angles (deg): 90.00 90.00 90.00
Element x y z (fractional)
Be: 0.899 0.101 0.601
Be: 0.399 0.399 0.399
Be: 0.601 0.899 0.101
Be: 0.101 0.601 0.899
Ru: 0.896 0.604 0.396
Ru: 0.604 0.396 0.896
Ru: 0.396 0.896 0.604
Ru: 0.104 0.104 0.104



An optimized crystal structure of In2CuTe. Source: the Alexandria database, functional GGA-PBE.

Calculated values
The energy relative to the elements, uncorrected comes out at 0.11 eV per atom. The symmetry is No. 65.

a b c (Å): 3.357 3.357 8.366
angles (deg): 90.00 90.00 90.11
Element x y z (fractional)
Cu: 0.500 0.500 0.750
In: 0.000 0.000 0.949
In: 0.000 0.000 0.551
Te: 0.500 0.500 0.250



An optimized crystal structure of RbSiB. Source: the Alexandria database, functional GGA-PBE.

Calculated values
The energy relative to the elements, uncorrected comes out at 0.38 eV per atom. The symmetry is No. 4.

a b c (Å): 6.525 3.859 6.399
angles (deg): 90.00 70.40 90.00
Element x y z (fractional)
Si: 0.881 0.348 0.101
Si: 0.119 0.848 0.899
Rb: 0.321 0.344 0.314
Rb: 0.679 0.844 0.686
B: 0.818 0.848 0.141
B: 0.182 0.348 0.859



An optimized crystal structure of FeTcNi. Source: the Alexandria database, functional GGA-PBE.

Calculated values
The symmetry is No. 107. Its calculated formation energy is 0.113 eV per atom. The energy relative to the lowest polymorph listed for this composition is 0.24 eV per formula unit.

a b c (Å): 4.481 4.481 4.481
angles (deg): 140.01 140.01 57.84
Site moments in Bohr magnetons follow the coordinates.
Element x y z (fractional)
Ni: 0.661 0.661 0.000  -0.18
Tc: 0.335 0.335 0.000  -0.40
Fe: 0.004 0.004 0.000  1.86



- Which formula does entry 5 have?
  BeRu